# MoAsP2 | Alexandria via LeMat-Bulk | PBE-GGA | optimized geometry
# total magnetic moment = 0.6 μB/f.u.
# calculated formation energy = 479 meV per atom
# space group = I-4m2
data_MoAsP2
_chemical_formula_sum 'Mo1 As1 P2'
_space_group_name_H-M_alt 'P 1'
_space_group_IT_number 1
_cell_length_a 4.8804
_cell_length_b 4.8804
_cell_length_c 4.8804
_cell_angle_alpha 133.07
_cell_angle_beta 133.07
_cell_angle_gamma 68.55
loop_
_space_group_symop_operation_xyz
'x,y,z'
loop_
_atom_site_label
_atom_site_type_symbol
_atom_site_fract_x
_atom_site_fract_y
_atom_site_fract_z
As1 As 0.5000 0.5000 0.0000
P1 P 0.0000 0.0000 0.0000
P2 P 0.2500 0.7500 0.5000
Mo1 Mo 0.7500 0.2500 0.5000